PBE Cu2IrRh6, optimized geometry; crystal system = orthorhombic; energy relative to the elements = 0.380 eV/atom
1.0
-1.958 2.626 6.663
1.958 -2.626 6.663
1.958 2.626 -6.663
Cu Ir Rh
2 1 6
Cartesian
0.000 0.000 0.000
0.000 0.000 2.643
0.000 2.626 0.043
1.958 -1.361 3.804
1.958 1.269 -1.336
1.958 1.306 1.314
1.958 1.361 3.804
0.000 1.356 5.327
0.000 1.320 7.977


PBE Zr2Ir, optimized geometry; crystal system = tetragonal; energy relative to the elements = -0.344 eV/atom
1.0
3.021 0.000 0.000
0.000 3.021 0.000
0.000 0.000 26.892
Zr Ir
8 4
Cartesian
0.000 0.755 8.210
0.000 0.755 11.960
0.000 2.265 14.933
0.000 2.265 18.683
1.510 0.755 1.486
1.510 0.755 5.237
1.510 2.265 21.656
1.510 2.265 25.406
0.000 0.755 23.531
0.000 2.265 3.362
1.510 0.755 16.808
1.510 2.265 10.085


PBE Rb5S, optimized geometry; crystal system = orthorhombic; relative energy among the computed polymorphs = 0.0091 eV/atom; formation energy from raw total energies = -0.411 eV/atom
1.0
5.451 0.000 0.000
0.000 33.433 0.000
0.000 0.000 4.397
Rb S
10 2
Cartesian
0.000 0.000 0.000
0.000 6.342 2.198
0.000 14.208 0.000
0.000 19.225 0.000
0.000 27.091 2.198
2.726 2.509 0.000
2.726 10.374 2.198
2.726 16.717 0.000
2.726 23.059 2.198
2.726 30.924 0.000
0.000 16.717 2.198
2.726 0.000 2.198


PBE TaPbF7, optimized geometry; crystal system = monoclinic; formation energy from raw total energies = -2.992 eV/atom
1.0
5.007 0.000 0.000
0.000 7.427 0.000
-0.499 0.000 6.882
Ta Pb F
2 2 14
Cartesian
0.051 1.857 1.504
4.457 5.570 5.378
2.128 1.857 4.677
2.380 5.570 2.206
0.223 5.570 3.515
0.734 5.570 0.328
0.464 3.932 5.412
0.464 7.209 5.412
1.331 0.590 2.485
1.331 3.124 2.485
1.596 1.857 0.343
2.912 5.570 6.539
3.177 4.303 4.397
3.177 6.837 4.397
4.044 0.218 1.470
4.044 3.495 1.470
3.774 1.857 6.554
4.285 1.857 3.367


For each record above, in turn, the calculated energy values are -57.7; -108.0; -22.9; -111.2 eV per cell.
For each record above, in turn, the calculated total moment values are 0.00; 0.00; 0.00; 0.00 μB per cell.
For each record above, in turn, the calculated DOS at the Fermi energy values are 13.98; 14.77; 4.73; 0.00 states/eV/cell.